[1]
Below is Li5Fe after structural relaxation, with properties calculated at the PBE level.

uncorrected energy	-2.7625	eV/atom
calculated density	1.5	Mg/m³
DOS at the Fermi energy	5.81	states/eV/f.u.

The structure in CIF format:
```
data_Li5Fe
_chemical_formula_sum 'Li10 Fe2'
_cell_length_a 4.880
_cell_length_b 14.687
_cell_length_c 2.733
_cell_angle_alpha 90.00
_cell_angle_beta 90.00
_cell_angle_gamma 90.00
_symmetry_space_group_name_H-M 'C m m m'
_symmetry_Int_Tables_number 65
_symmetry_space_group_name_Hall '-C 2 2'
loop_
_atom_site_label
_atom_site_fract_x
_atom_site_fract_y
_atom_site_fract_z
Li1 0.000 0.000 0.000
Li2 0.000 0.166 0.500
Li3 0.000 0.343 0.000
Fe1 0.000 0.500 0.500
```

[2]
Below is NpInPt2 after structural relaxation, with properties calculated at the PBE level.

uncorrected energy	-7.3414	eV/atom
calculated density	15.7	Mg/m³
DOS at the Fermi energy	8.23	states/eV/f.u.

The structure in CIF format:
```
data_NpInPt2
_chemical_formula_sum 'Np1 In1 Pt2'
_cell_length_a 5.175
_cell_length_b 5.175
_cell_length_c 2.934
_cell_angle_alpha 90.00
_cell_angle_beta 90.00
_cell_angle_gamma 90.00
_symmetry_space_group_name_H-M 'P 4/m m m'
_symmetry_Int_Tables_number 123
_symmetry_space_group_name_Hall '-P 4 2'
loop_
_atom_site_label
_atom_site_fract_x
_atom_site_fract_y
_atom_site_fract_z
Np1 0.000 0.000 0.000
In1 0.500 0.500 0.000
Pt1 0.000 0.500 0.500
```

[3]
Below is Sr4AgRh2 after structural relaxation, with properties calculated at the PBE level.

uncorrected energy	-3.6753	eV/atom
calculated density	4.9	Mg/m³
DOS at the Fermi energy	5.36	states/eV/f.u.

The structure in CIF format:
```
data_Sr4AgRh2
_chemical_formula_sum 'Sr16 Ag4 Rh8'
_cell_length_a 12.239
_cell_length_b 9.099
_cell_length_c 8.580
_cell_angle_alpha 90.00
_cell_angle_beta 109.77
_cell_angle_gamma 90.00
_symmetry_space_group_name_H-M 'C 1 m 1'
_symmetry_Int_Tables_number 8
_symmetry_space_group_name_Hall 'C -2y'
loop_
_atom_site_label
_atom_site_fract_x
_atom_site_fract_y
_atom_site_fract_z
Sr1 0.000 0.000 0.000
Sr2 0.003 0.500 0.494
Sr3 0.014 0.500 0.993
Sr4 0.266 0.273 0.633
Sr5 0.286 0.264 0.132
Sr6 0.493 0.500 0.478
Ag1 0.213 0.000 0.843
Ag2 0.214 0.000 0.356
Rh1 0.080 0.248 0.284
Rh2 0.186 0.500 0.335
Rh3 0.225 0.500 0.857
```

[4]
Below is Ti9NbSn2 after structural relaxation, with properties calculated at the PBE level.

uncorrected energy	-7.2948	eV/atom
calculated density	5.8	Mg/m³
DOS at the Fermi energy	11.21	states/eV/f.u.

The structure in CIF format:
```
data_Ti9NbSn2
_chemical_formula_sum 'Ti27 Nb3 Sn6'
_cell_length_a 5.6251
_cell_length_b 5.6251
_cell_length_c 23.9732
_cell_angle_alpha 90.00
_cell_angle_beta 90.00
_cell_angle_gamma 120.00
_symmetry_space_group_name_H-M 'R -3 m'
_symmetry_Int_Tables_number 166
_symmetry_space_group_name_Hall '-R 3 2"'
loop_
_atom_site_label
_atom_site_fract_x
_atom_site_fract_y
_atom_site_fract_z
Ti1 0.0000 0.0000 0.0000
Ti2 0.0000 0.0000 0.1672
Ti3 0.0051 0.5026 0.4174
Nb1 0.0000 0.0000 0.5000
Sn1 0.0000 0.0000 0.3646
```

Among the records above, which one has the highest DOS at the Fermi energy? Ti9NbSn2